DFT (PBE-GGA) results for a relaxed SrLi2Tc crystal.

Unit cell a=2.8538 b=4.4080 c=6.8236 alpha=90.00 beta=100.76 gamma=90.00
Sites, in units of the cell vectors:
1 Sr 0.0000 0.0000 0.0000
2 Li 0.1075 0.0000 0.4394
3 Li 0.3589 0.5000 0.6360
4 Tc 0.6096 0.5000 0.2759

relative energy among the computed polymorphs = 0.11 eV per formula unit
D(E_F) = 2.49 states/eV/cell
symmetry = Pm
ΔE_f = 0.602 eV per atom